Entry 1:
Entry from Alexandria: a relaxed AlSe2S crystal (PBE).

The structure in CIF format:
```
data_AlSe2S
_cell_length_a 6.633
_cell_length_b 6.633
_cell_length_c 6.633
_cell_angle_alpha 90.00
_cell_angle_beta 90.00
_cell_angle_gamma 90.00
_space_group_name_H-M_alt 'F m -3 m'
_space_group_IT_number 225
_space_group_name_Hall '-F 4 2 3'
loop_
_atom_site_label
_atom_site_type_symbol
_atom_site_fract_x
_atom_site_fract_y
_atom_site_fract_z
Al1 Al 0.000 0.000 0.000
Se1 Se 0.250 0.250 0.250
S1 S 0.000 0.000 0.500
```

Computed properties:
As for the formation energy without anion corrections: 0.386 eV per atom. The calculated density comes out at 4.939 Mg/m³. As for the energy above the most stable polymorph in this dataset: 2.39 eV/f.u.

Entry 2:
Entry from Alexandria: a relaxed Sm6AlSe3S2 crystal (PBE).

The structure in CIF format:
```
data_Sm6AlSe3S2
_cell_length_a 18.246
_cell_length_b 4.053
_cell_length_c 8.473
_cell_angle_alpha 90.00
_cell_angle_beta 104.44
_cell_angle_gamma 90.00
_space_group_name_H-M_alt 'C 1 2/m 1'
_space_group_IT_number 12
_space_group_name_Hall '-C 2y'
loop_
_atom_site_label
_atom_site_type_symbol
_atom_site_fract_x
_atom_site_fract_y
_atom_site_fract_z
Sm1 Sm 0.004 0.000 0.254
Sm2 Sm 0.166 0.500 0.093
Sm3 Sm 0.170 0.500 0.571
Al1 Al 0.000 0.500 0.000
Se1 Se 0.000 0.500 0.500
Se2 Se 0.167 0.000 0.829
S1 S 0.169 0.000 0.336
```

Computed properties:
As for the formation energy without anion corrections: -1.621 eV per atom. The calculated density comes out at 6.733 Mg/m³.

Entry 3:
Entry from Alexandria: a relaxed Tm4AlSe2S crystal (PBE).

The structure in CIF format:
```
data_Tm4AlSe2S
_cell_length_a 7.044
_cell_length_b 3.907
_cell_length_c 7.107
_cell_angle_alpha 90.00
_cell_angle_beta 108.48
_cell_angle_gamma 90.00
_space_group_name_H-M_alt 'P 1 2/m 1'
_space_group_IT_number 10
_space_group_name_Hall '-P 2y'
loop_
_atom_site_label
_atom_site_type_symbol
_atom_site_fract_x
_atom_site_fract_y
_atom_site_fract_z
Tm1 Tm 0.243 0.000 0.233
Tm2 Tm 0.247 0.500 0.754
Al1 Al 0.500 0.000 0.000
Se1 Se 0.000 0.000 0.500
Se2 Se 0.500 0.500 0.500
S1 S 0.000 0.500 0.000
```

Computed properties:
As for the formation energy without anion corrections: -1.369 eV per atom. The calculated density comes out at 7.992 Mg/m³.